## SrMg2Re (PBE-GGA)

Data for a relaxed SrMg2Re crystal.

a b c (Å): 9.5702 2.9510 6.7759
angles (deg): 90.00 95.18 90.00
Last column: nearest neighbours and their distance in Å.
Space group Cm (No. 8)
Inequivalent atoms, fractional coordinates:
Sr (0.0000, 0.0000, 0.0000) (multiplicity 2)  2 Sr 2.95, 3 Re 3.23-3.28
Mg (0.2345, 0.0000, 0.6397) (multiplicity 2)  2 Re 2.82, 5 Mg 2.89-3.00
Mg (0.4882, 0.0000, 0.4380) (multiplicity 2)  3 Re 2.77-2.85, 5 Mg 2.89-3.00
Re (0.2477, 0.5000, 0.2870) (multiplicity 2)  5 Mg 2.77-2.85, 2 Re 2.95

Calculated values
The calculation puts the volume at 23.8 Å³ per atom. The calculation puts the energy above the lowest structure with this stoichiometry at 109 meV per atom. Its total energy is -3.694 eV per atom.